Compound: LiPmMgTl
Source: the Alexandria database
Functional: PBE
Structure: optimized geometry

Unit cell a=5.156 b=5.156 c=5.156 alpha=60.00 beta=60.00 gamma=60.00
Sites, in units of the cell vectors:
Li1 0.000 0.000 0.000
Pm1 0.750 0.750 0.750
Mg1 0.250 0.250 0.250
Tl1 0.500 0.500 0.500

## Properties
formation energy from the elements: -5.38 kcal/mol of atoms
electronic total energy: -2.889 eV per atom

---

Compound: Li2Pm3Mg2Tl4
Source: the Alexandria database
Functional: PBE
Structure: optimized geometry

Unit cell a=4.956 b=4.956 c=13.895 alpha=90.00 beta=90.00 gamma=120.00
Sites, in units of the cell vectors:
Li1 0.333 0.667 0.136
Li2 0.667 0.333 0.864
Pm1 0.000 0.000 0.000
Pm2 0.000 0.000 0.262
Pm3 0.000 0.000 0.738
Mg1 0.333 0.667 0.570
Mg2 0.667 0.333 0.430
Tl1 0.333 0.667 0.358
Tl2 0.333 0.667 0.878
Tl3 0.667 0.333 0.122
Tl4 0.667 0.333 0.642

## Properties
formation energy from the elements: -4.67 kcal/mol of atoms
electronic total energy: -2.997 eV per atom